[1]
PBE Ac3Nd2Pb4, optimized geometry; energy = -0.16613 hartree per atom; energy relative to the lowest polymorph listed for this composition = 0.054 eV/atom; total magnetization = 1.05 μB/cell
1.0
-0.5342 0.2556 -5.0558
-5.9514 -0.0411 3.1893
1.4765 10.5682 0.3782
Ac Nd Pb
3 2 4
direct
0.3738 0.7477 0.5904
0.0000 0.0000 0.0000
0.6262 0.2523 0.4096
0.3192 0.6383 0.1934
0.6808 0.3617 0.8066
0.6632 0.3264 0.1072
0.0853 0.1705 0.6340
0.9147 0.8295 0.3660
0.3368 0.6736 0.8928

[2]
PBE FeSeBrN2, optimized geometry; energy = -0.18710 hartree per atom; energy relative to the lowest polymorph listed for this composition = 0.000 eV/atom; ΔE_f (raw) = 0.96 eV per atom; total magnetization = 0.00 μB/cell
1.0
3.6734 0.0000 0.0000
0.0000 3.6734 0.0000
0.0000 0.0000 5.4591
N Se Br Fe
2 1 1 1
direct
0.0000 0.5000 0.0000
0.5000 0.0000 0.0000
0.0000 0.0000 0.5000
0.5000 0.5000 0.5000
0.0000 0.0000 0.0000

[3]
PBE CsPbNO2, optimized geometry; energy = -0.12373 hartree per atom; ΔE_f (raw) = 1.19 eV per atom; total magnetization = 2.02 μB/cell
1.0
-4.3755 -1.3957 1.4967
-0.5492 -2.6023 -4.0323
2.2602 -4.3827 2.5206
Pb Cs O N
1 1 2 1
direct
0.5000 0.5000 0.5000
0.0000 0.0000 0.0000
0.0000 0.5000 0.0000
0.5000 0.0000 0.0000
0.0000 0.0000 0.5000

[4]
PBE PuSnIr, optimized geometry; energy = -0.34585 hartree per atom; total magnetization = 4.78 μB/cell
1.0
3.2462 0.0000 0.0000
0.0000 4.7407 0.0000
0.0000 -2.3704 4.1056
Ir Sn Pu
1 1 1
direct
0.1668 0.3333 0.6667
0.1666 0.0000 0.0000
0.6666 0.6667 0.3333

[5]
PBE TlGaP2O8, optimized geometry; energy = -0.23233 hartree per atom; ΔE_f (raw) = -1.67 eV per atom; total magnetization = 0.29 μB/cell
1.0
4.7490 0.0000 0.0000
2.3745 4.1128 0.0000
2.3745 1.3709 7.2568
Tl Ga P O
1 1 2 8
direct
0.5000 0.5000 0.5000
0.0000 0.0000 0.0000
0.2582 0.2582 0.2255
0.7418 0.7418 0.7745
0.1851 0.1851 0.4448
0.5989 0.2578 0.1662
0.8149 0.8149 0.5552
0.9772 0.5989 0.1662
0.0228 0.4011 0.8338
0.2578 0.9772 0.1662
0.7422 0.0228 0.8338
0.4011 0.7422 0.8338

[6]
PBE Y2Al2Cu, optimized geometry; energy = -0.19573 hartree per atom; energy relative to the lowest polymorph listed for this composition = 0.000 eV/atom; total magnetization = 0.00 μB/cell
1.0
-4.2259 -0.9155 -0.9293
-0.6177 -4.9256 -2.8629
-2.9749 -4.8314 7.7639
Y Al Cu
4 4 2
direct
0.6779 0.3139 0.3302
0.9190 0.2691 0.8930
0.3221 0.6861 0.6698
0.0810 0.7309 0.1070
0.0909 0.2596 0.5586
0.6322 0.8555 0.8801
0.9091 0.7404 0.4414
0.3678 0.1445 0.1199
0.6225 0.1039 0.6511
0.3775 0.8961 0.3489

[7]
PBE HoMoN, optimized geometry; energy = -0.29761 hartree per atom; ΔE_f (raw) = -0.19 eV per atom; total magnetization = 0.13 μB/cell
1.0
-2.6885 -1.5962 0.1902
2.7266 -1.5356 -0.1409
0.6701 0.1812 10.9953
Mo N Ho
2 2 2
direct
0.6667 0.3333 0.3318
0.6667 0.3333 0.5663
0.6667 0.3333 0.9491
0.3333 0.6667 0.4491
0.3333 0.6667 0.0862
0.3333 0.6667 0.8119

[8]
PBE Er6Bi5Te, optimized geometry; energy = -0.18603 hartree per atom; ΔE_f (raw) = -0.90 eV per atom; total magnetization = 0.00 μB/cell
1.0
7.5765 0.1832 1.1502
1.8594 6.4251 3.7454
0.1269 0.0706 7.6612
Te Bi Er
1 5 6
direct
0.0000 0.0000 0.0000
0.5000 0.1659 0.6682
0.0000 0.3331 0.3339
0.5000 0.5000 0.0000
0.0000 0.6669 0.6661
0.5000 0.8341 0.3318
0.7487 0.0839 0.3350
0.2513 0.5811 0.3350
0.2513 0.2515 0.0000
0.7487 0.7485 0.0000
0.7487 0.4189 0.6650
0.2513 0.9161 0.6650

[9]
PBE CaPr2Eu, optimized geometry; energy = -0.19698 hartree per atom; energy relative to the lowest polymorph listed for this composition = 0.036 eV/atom; total magnetization = 7.41 μB/cell
1.0
5.5580 0.0000 0.0000
0.0000 5.2413 0.0000
0.0000 0.0000 5.2413
Eu Pr Ca
1 2 1
direct
0.5000 0.5000 0.5000
0.0000 0.0000 0.5000
0.0000 0.5000 0.0000
0.5000 0.0000 0.0000

[10]
PBE PrGa11Pd, optimized geometry; energy = -0.13045 hartree per atom; total magnetization = 0.00 μB/cell
1.0
-4.2719 -1.0314 2.9023
0.5272 -7.5684 2.7749
0.7601 1.5132 6.4348
Pr Ga Pd
1 11 1
direct
0.0000 0.0000 0.0000
0.2757 0.2265 0.2184
0.7243 0.7735 0.7816
0.5059 0.7735 0.2184
0.4941 0.2265 0.7816
0.3733 0.6382 0.6446
0.6267 0.3618 0.3554
0.9821 0.3618 0.6446
0.0179 0.6382 0.3554
0.0000 0.5000 0.0000
0.5000 0.0000 0.5000
0.0000 0.0000 0.5000
0.5000 0.5000 0.0000

[11]
PBE CdCo2Ni, optimized geometry; energy = -0.18634 hartree per atom; energy relative to the lowest polymorph listed for this composition = 0.000 eV/atom; total magnetization = 3.68 μB/cell
1.0
-1.4592 0.5154 2.2836
-2.1517 -1.3510 -1.0699
0.1768 -7.2656 1.7528
Cd Co Ni
1 2 1
direct
0.5000 0.7512 0.7487
0.0000 0.9555 0.0438
0.5000 0.2560 0.2438
0.0000 0.5373 0.4637

[12]
PBE Ce6TlHg5, optimized geometry; energy = -0.13087 hartree per atom; energy relative to the lowest polymorph listed for this composition = 0.000 eV/atom; total magnetization = 8.51 μB/cell
1.0
-2.0904 4.0816 2.8442
-6.6281 -3.9607 0.8125
7.1619 -3.3463 5.0190
Tl Hg Ce
1 5 6
direct
0.0000 0.0000 0.0000
0.6658 0.1657 0.3316
0.3328 0.3330 0.6660
0.0000 0.5000 0.0000
0.6672 0.6670 0.3340
0.3342 0.8343 0.6684
0.8320 0.5804 0.6643
0.8321 0.0839 0.6643
0.4999 0.7461 0.0000
0.5001 0.2539 0.0000
0.1679 0.9161 0.3357
0.1680 0.4196 0.3357

Q: Which value of total magnetization does entry 11 give?
A: 3.68 μB/cell